Here is an optimized crystal structure of TaGa from Alexandria via LeMat-Bulk. Energies are from PBE.

Computed properties:
The total energy comes out at -7.596 eV per atom. The calculation puts the formation enthalpy at 0 K at -0.157 eV per atom.

a b c (Å): 2.9259 4.3658 5.3592
angles (deg): 90.00 103.73 90.00
With the nearest neighbours (Å) after each atom.
Positions (direct):
Ga (0.4488, 0.2500, 0.8576)  4 Ga 2.64-2.93, 7 Ta 2.69-2.94
Ga (0.5512, 0.7500, 0.1424)  4 Ga 2.64-2.93, 7 Ta 2.69-2.94
Ta (0.8590, 0.7500, 0.6578)  7 Ga 2.69-2.94, 4 Ta 2.93-3.00
Ta (0.1410, 0.2500, 0.3422)  7 Ga 2.69-2.94, 4 Ta 2.93-3.00

Here is an optimized crystal structure of LaTb2Nd3Se6 from Alexandria via LeMat-Bulk. Energies are from PBE.

Computed properties:
The total energy comes out at -5.961 eV per atom.

a b c (Å): 7.2756 7.2756 7.2886
angles (deg): 99.58 99.58 120.21
With the nearest neighbours (Å) after each atom.
Positions (direct):
Tb (0.3328, 0.6672, 0.0000)  6 Se 2.90-2.92
Tb (0.6672, 0.3328, 0.0000)  6 Se 2.90-2.92
Nd (0.8383, 0.1617, 0.5000)  6 Se 2.98-3.02
Nd (0.1617, 0.8383, 0.5000)  6 Se 2.98-3.02
Nd (0.5000, 0.5000, 0.5000)  6 Se 2.95-3.02
Se (0.4251, 0.0818, 0.2450)  2 Tb 2.92, 3 Nd 2.98-3.02, 1 La 3.01
Se (0.5749, 0.9182, 0.7550)  2 Tb 2.92, 3 Nd 2.98-3.02, 1 La 3.01
Se (0.7361, 0.7361, 0.2394)  2 Tb 2.90, 3 Nd 2.95-3.00, 1 La 2.99
Se (0.2639, 0.2639, 0.7606)  2 Tb 2.90, 3 Nd 2.95-3.00, 1 La 2.99
Se (0.0818, 0.4251, 0.2450)  2 Tb 2.92, 3 Nd 2.98-3.02, 1 La 3.01
Se (0.9182, 0.5749, 0.7550)  2 Tb 2.92, 3 Nd 2.98-3.02, 1 La 3.01
La (0.0000, 0.0000, 0.0000)  6 Se 2.99-3.01

Here is an optimized crystal structure of SrTmIn from Alexandria via LeMat-Bulk. Energies are from PBE.

Computed properties:
The total energy comes out at -3.158 eV per atom. The value obtained for the offset from the most stable computed form is 111 meV per atom. The calculation puts the formation enthalpy at 0 K at -0.194 eV per atom.

a b c (Å): 3.8449 3.8449 7.3533
angles (deg): 105.16 105.16 90.00
With the nearest neighbours (Å) after each atom.
Positions (direct):
In (0.9663, 0.9663, 0.9326)  4 Tm 3.16
Tm (0.5847, 0.5847, 0.1694)  4 In 3.16
Sr (0.2990, 0.2990, 0.5980)  4 In 3.55, 4 Sr 3.84, 1 Tm 3.90

Here is an optimized crystal structure of GaCu2RhF from Alexandria via LeMat-Bulk. Energies are from PBE.

Computed properties:
The total energy comes out at -3.540 eV per atom.

a b c (Å): 4.4989 4.4989 4.6123
angles (deg): 90.00 90.00 90.00
With the nearest neighbours (Å) after each atom.
Positions (direct):
Rh (0.0000, 0.0000, 0.5000)  2 Ga 2.31
Ga (0.0000, 0.0000, 0.0000)  4 Cu 2.25, 2 Rh 2.31
F (0.5000, 0.5000, 0.5000)  4 Rh 3.18, 8 Cu 3.22
Cu (0.0000, 0.5000, 0.0000)  2 Ga 2.25
Cu (0.5000, 0.0000, 0.0000)  2 Ga 2.25

Here is an optimized crystal structure of NdAgPt from Alexandria via LeMat-Bulk. Energies are from PBE.

Computed properties:
The total energy comes out at -5.171 eV per atom. The value obtained for the offset from the most stable computed form is 138 meV per atom. The calculation puts the formation enthalpy at 0 K at -0.617 eV per atom.

a b c (Å): 3.6493 4.6569 4.6569
angles (deg): 120.00 90.00 90.00
With the nearest neighbours (Å) after each atom.
Positions (direct):
Pt (0.1656, 0.0000, 0.0000)  3 Ag 2.69
Ag (0.1675, 0.3333, 0.6667)  3 Pt 2.69
Nd (0.6669, 0.6667, 0.3333)  6 Pt 3.25, 6 Ag 3.25

Here is an optimized crystal structure of CdGa2HgPt from Alexandria via LeMat-Bulk. Energies are from PBE.

Computed properties:
The total energy comes out at -2.901 eV per atom. The calculation puts the formation enthalpy at 0 K at -0.238 eV per atom.

a b c (Å): 4.8299 4.8299 5.3708
angles (deg): 90.00 90.00 90.00
With the nearest neighbours (Å) after each atom.
Positions (direct):
Hg (0.5000, 0.5000, 0.5000)  4 Cd 3.42, 8 Ga 3.61
Ga (0.0000, 0.5000, 0.0000)  2 Pt 2.41
Ga (0.5000, 0.0000, 0.0000)  2 Pt 2.41
Pt (0.0000, 0.0000, 0.0000)  4 Ga 2.41, 2 Cd 2.69
Cd (0.0000, 0.0000, 0.5000)  2 Pt 2.69

Here is an optimized crystal structure of ZrScNiOs from Alexandria via LeMat-Bulk. Energies are from PBE.

Computed properties:
The total energy comes out at -8.468 eV per atom. The calculation puts the formation enthalpy at 0 K at -0.496 eV per atom.

a b c (Å): 4.5716 4.5716 4.5716
angles (deg): 60.00 60.00 60.00
With the nearest neighbours (Å) after each atom.
Positions (direct):
Os (0.5000, 0.5000, 0.5000)  4 Zr 2.80, 4 Sc 2.80
Ni (0.0000, 0.0000, 0.0000)  4 Zr 2.80, 4 Sc 2.80
Sc (0.2500, 0.2500, 0.2500)  4 Os 2.80, 4 Ni 2.80
Zr (0.7500, 0.7500, 0.7500)  4 Os 2.80, 4 Ni 2.80

Here is an optimized crystal structure of DySi2IrRu from Alexandria via LeMat-Bulk. Energies are from PBE.

Computed properties:
The total energy comes out at -7.747 eV per atom.

a b c (Å): 4.1333 4.1333 5.6822
angles (deg): 111.33 111.33 90.00
With the nearest neighbours (Å) after each atom.
Positions (direct):
Ru (0.2500, 0.7500, 0.5000)  4 Si 2.39
Si (0.6265, 0.6265, 0.2531)  2 Ru 2.39, 2 Ir 2.39, 1 Si 2.47
Si (0.3735, 0.3735, 0.7469)  2 Ru 2.39, 2 Ir 2.39, 1 Si 2.47
Dy (0.0000, 0.0000, 0.0000)  8 Si 3.17, 4 Ru 3.19, 4 Ir 3.19
Ir (0.7500, 0.2500, 0.5000)  4 Si 2.39